No. 1
Computed, not measured: a relaxed TmZrPa2 crystal at the PBE level of DFT.

```
4
Lattice="-1.163 0.794 -2.926 0.118 -2.149 -2.431 -10.398 -4.331 1.156" Properties=species:S:1:pos:R:3 pbc="T T T"
Tm -5.710 -2.839 -2.105
Zr -0.703 -0.906 -3.570
Pa -7.948 -3.385 0.438
Pa -2.804 -1.400 -1.067
```

Calculated values
uncorrected energy	-7.88	eV/atom
distance to the lowest polymorph of the same formula	0	meV per atom
formation energy from the elements	0.123	eV per atom
crystal system	trigonal

=====

No. 2
Computed, not measured: a relaxed TmZrIrRh crystal at the PBE level of DFT.

```
4
Lattice="4.725 0.000 0.000 2.363 4.092 0.000 2.363 1.364 3.858" Properties=species:S:1:pos:R:3 pbc="T T T"
Rh 4.725 2.728 1.929
Ir 0.000 0.000 0.000
Tm 2.363 1.364 0.965
Zr 7.088 4.092 2.894
```

Calculated values
uncorrected energy	-8.18	eV/atom
formation energy from the elements	-0.873	eV per atom
crystal system	cubic

=====

No. 3
Computed, not measured: a relaxed Pm2DyN crystal at the PBE level of DFT.

```
4
Lattice="3.553 0.000 0.000 1.776 3.077 0.000 1.776 1.026 9.617" Properties=species:S:1:pos:R:3 pbc="T T T"
N 3.553 2.051 4.809
Pm 1.776 1.026 6.176
Pm 5.329 3.077 3.442
Dy 0.000 0.000 0.000
```

Calculated values
uncorrected energy	-6.18	eV/atom
energy relative to the elements, uncorrected	-0.57	eV per atom
crystal system	trigonal

=====

No. 4
Computed, not measured: a relaxed Mn3SbPt12 crystal at the PBE level of DFT.

```
16
Lattice="3.965 0.000 0.000 0.000 3.965 0.000 0.000 0.000 15.920" Properties=species:S:1:pos:R:3 pbc="T T T"
Mn 0.000 0.000 4.088
Mn 0.000 0.000 7.960
Mn 0.000 0.000 11.832
Sb 0.000 0.000 0.000
Pt 1.983 1.983 0.000
Pt 1.983 1.983 4.066
Pt 1.983 1.983 7.960
Pt 1.983 1.983 11.853
Pt 1.983 0.000 2.126
Pt 1.983 0.000 6.021
Pt 1.983 0.000 9.899
Pt 1.983 0.000 13.794
Pt 0.000 1.983 2.126
Pt 0.000 1.983 6.021
Pt 0.000 1.983 9.899
Pt 0.000 1.983 13.794
```

Calculated values
uncorrected energy	-6.83	eV/atom
energy relative to the elements, uncorrected	-0.33	eV per atom
crystal system	tetragonal

=====

No. 5
Computed, not measured: a relaxed Sc2NiHg crystal at the PBE level of DFT.

```
8
Lattice="7.351 0.000 0.000 0.000 7.351 0.000 3.676 3.676 3.091" Properties=species:S:1:pos:R:3 pbc="T T T"
Sc 5.146 1.838 0.773
Sc 2.205 5.513 0.773
Sc 5.513 5.881 2.318
Sc 9.189 8.822 2.318
Ni 3.676 3.676 0.000
Ni 3.676 7.351 1.546
Hg 0.000 0.000 0.000
Hg 7.351 3.676 1.546
```

Calculated values
uncorrected energy	-4.74	eV/atom
formation energy from the elements	-0.056	eV per atom
crystal system	tetragonal

=====

No. 6
Computed, not measured: a relaxed SmMgPt2 crystal at the PBE level of DFT.

```
4
Lattice="-2.259 1.651 2.100 -3.610 -2.267 -2.100 0.370 -3.523 3.167" Properties=species:S:1:pos:R:3 pbc="T T T"
Mg -1.129 0.825 1.050
Sm -2.749 -2.070 1.584
Pt 0.185 -1.761 1.584
Pt -1.805 -1.134 -1.050
```

Calculated values
uncorrected energy	-5.52	eV/atom
formation energy from the elements	-0.922	eV per atom
crystal system	tetragonal

=====

No. 7
Computed, not measured: a relaxed Sm5ErSe6 crystal at the PBE level of DFT.

```
12
Lattice="7.091 0.181 1.082 1.749 6.025 3.513 0.120 0.058 7.199" Properties=species:S:1:pos:R:3 pbc="T T T"
Se 5.539 0.649 3.441
Se 2.811 3.640 4.686
Se 2.184 1.506 1.121
Se 6.656 4.700 3.474
Se 6.149 2.624 7.108
Se 3.421 5.615 8.353
Sm 3.925 1.165 5.868
Sm 0.621 2.021 3.584
Sm 4.420 3.103 2.297
Sm 1.248 4.063 7.129
Sm 5.035 5.099 5.926
Er 0.000 0.000 0.000
```

Calculated values
uncorrected energy	-5.89	eV/atom
energy relative to the elements, uncorrected	-1.80	eV per atom
crystal system	monoclinic

=====

No. 8
Computed, not measured: a relaxed UNi3 crystal at the PBE level of DFT.

```
4
Lattice="4.346 0.000 0.000 2.173 3.764 0.000 2.173 1.255 3.549" Properties=species:S:1:pos:R:3 pbc="T T T"
Ni 0.000 0.000 0.000
Ni 6.519 3.764 2.661
Ni 2.173 1.255 0.887
U 4.346 2.509 1.774
```

Calculated values
uncorrected energy	-7.18	eV/atom
formation energy from the elements	-0.022	eV per atom
crystal system	cubic

=====

No. 9
Computed, not measured: a relaxed Cd2GeRuO6 crystal at the PBE level of DFT.

```
10
Lattice="-2.059 2.447 -3.527 3.036 -2.482 -3.494 -3.635 -3.760 -0.487" Properties=species:S:1:pos:R:3 pbc="T T T"
Cd 1.475 -1.190 -1.821
Cd -1.860 -1.829 -0.317
Ge -1.183 1.406 -2.027
Ru -1.534 -1.653 -4.106
O -1.596 0.211 -3.452
O -3.468 -1.725 -3.702
O -0.726 -2.614 -2.721
O -0.419 0.498 -0.718
O -1.905 -3.004 -5.502
O -0.033 -1.067 -5.251
```

Calculated values
uncorrected energy	-5.47	eV/atom
energy relative to the elements, uncorrected	-0.92	eV per atom
crystal system	tetragonal

=====

No. 10
Computed, not measured: a relaxed CeSmPuSn crystal at the PBE level of DFT.

```
4
Lattice="-1.979 -2.519 -4.292 1.427 -5.058 -1.031 -3.548 -3.963 0.621" Properties=species:S:1:pos:R:3 pbc="T T T"
Sn -1.025 -2.885 -1.175
Ce -3.076 -8.655 -3.526
Sm -2.050 -5.770 -2.351
Pu 0.000 0.000 0.000
```

Calculated values
uncorrected energy	-7.42	eV/atom
formation energy from the elements	-0.177	eV per atom
crystal system	cubic

=====

No. 11
Computed, not measured: a relaxed KSc2Ir crystal at the PBE level of DFT.

```
4
Lattice="-3.103 -0.093 2.564 0.018 -2.567 3.102 3.061 5.375 6.973" Properties=species:S:1:pos:R:3 pbc="T T T"
Ir -0.018 2.037 9.479
K -0.006 0.679 3.160
Sc 2.579 4.640 6.384
Sc 0.469 2.093 6.909
```

Calculated values
uncorrected energy	-5.92	eV/atom
distance to the lowest polymorph of the same formula	4	meV per atom
formation energy from the elements	-0.266	eV per atom
crystal system	monoclinic

=====

No. 12
Computed, not measured: a relaxed Er8BTe4Se3 crystal at the PBE level of DFT.

```
16
Lattice="-0.682 3.063 -7.593 1.326 -7.682 -3.218 -6.078 1.073 5.423" Properties=species:S:1:pos:R:3 pbc="T T T"
Er -5.207 -3.688 1.413
Er -1.879 -4.275 -1.556
Er -2.969 -0.801 -0.057
Er -5.580 -2.011 -2.744
Er 0.147 -1.535 -2.644
Er -2.465 -2.745 -5.331
Er -3.554 0.729 -3.832
Er -0.227 0.142 -6.801
B 0.663 -3.841 -1.609
Te -0.341 1.532 -3.797
Te -3.380 2.068 -1.085
Te 0.000 0.000 0.000
Te -3.039 0.536 2.712
Se 0.322 -2.309 -5.406
Se -2.717 -1.773 -2.694
Se -2.376 -3.305 1.103
```

Calculated values
uncorrected energy	-5.51	eV/atom
energy relative to the elements, uncorrected	-1.37	eV per atom
crystal system	trigonal

=====

Question: Among the records above, which one has the lowest uncorrected energy?
Answer: TmZrIrRh